VZnF2 | PBE+U | relaxed

Computed properties:
Raw total energy ... -19.4 eV per cell
Energy above the most stable polymorph in this dataset ... 0.0 meV per atom

abc: 8.7534 8.7534 8.7534
angles: 21.29 21.29 21.29
Last column: nearest neighbours and their distance in Å.
Fractional coordinates of all 4 atoms:
F 0.1276 0.1276 0.1276  3 V 2.12
F 0.8724 0.8724 0.8724  3 V 2.12
V 0.5000 0.5000 0.5000  6 F 2.12
Zn 0.0000 0.0000 0.0000  6 Zn 3.23, 2 F 3.27

=====

VZnF4 | PBE+U | relaxed

Computed properties:
Raw total energy ... -62.2 eV per cell
Energy above the most stable polymorph in this dataset ... 0.0 meV per atom

abc: 4.7751 5.3746 5.8668
angles: 90.00 90.00 90.00
Last column: nearest neighbours and their distance in Å.
Fractional coordinates of all 12 atoms:
Zn 0.5000 0.0000 0.3420  6 F 2.04-2.14
Zn 0.0000 0.0000 0.8420  6 F 2.04-2.14
V 0.5000 0.5000 0.6504  6 F 2.12-2.13
V 0.0000 0.5000 0.1504  6 F 2.12-2.13
F 0.7708 0.6767 0.8873  1 Zn 2.07, 2 V 2.12
F 0.7292 0.6767 0.3873  1 Zn 2.07, 2 V 2.12
F 0.2326 0.8371 0.1165  2 Zn 2.04-2.14, 1 V 2.13
F 0.7674 0.1629 0.1165  2 Zn 2.04-2.14, 1 V 2.13
F 0.2708 0.3233 0.3873  1 Zn 2.07, 2 V 2.12
F 0.2674 0.8371 0.6165  2 Zn 2.04-2.14, 1 V 2.13
F 0.2292 0.3233 0.8873  1 Zn 2.07, 2 V 2.12
F 0.7326 0.1629 0.6165  2 Zn 2.04-2.14, 1 V 2.13

=====

VZnF6 | PBE+U | relaxed

Computed properties:
Raw total energy ... -79.6 eV per cell

abc: 5.0332 5.0332 9.3270
angles: 90.00 90.00 120.00
Last column: nearest neighbours and their distance in Å.
Fractional coordinates of all 16 atoms:
F 0.2882 0.9698 0.1180  1 V 1.89, 1 Zn 2.06
F 0.6816 0.7118 0.1180  1 V 1.89, 1 Zn 2.06
F 0.2882 0.3184 0.3820  1 V 1.89, 1 Zn 2.06
F 0.9698 0.2882 0.6180  1 V 1.89, 1 Zn 2.06
F 0.0302 0.3184 0.1180  1 V 1.89, 1 Zn 2.06
F 0.3184 0.2882 0.8820  1 V 1.89, 1 Zn 2.06
F 0.6816 0.9698 0.3820  1 V 1.89, 1 Zn 2.06
F 0.7118 0.0302 0.8820  1 V 1.89, 1 Zn 2.06
F 0.3184 0.0302 0.6180  1 V 1.89, 1 Zn 2.06
F 0.9698 0.6816 0.8820  1 V 1.89, 1 Zn 2.06
F 0.7118 0.6816 0.6180  1 V 1.89, 1 Zn 2.06
F 0.0302 0.7118 0.3820  1 V 1.89, 1 Zn 2.06
V 0.0000 0.0000 0.5000  6 F 1.89
V 0.0000 0.0000 0.0000  6 F 1.89
Zn 0.3333 0.6667 0.2500  6 F 2.06
Zn 0.6667 0.3333 0.7500  6 F 2.06